No. 1
The following is a DFT calculation (meta-GGA SCAN) of Ca2Ni at its PBEsol-relaxed geometry.

abc: 3.905 3.905 6.506
angles: 90.00 90.00 120.00
Positions (direct):
Ni 0.000 0.000 0.000
Ca 0.667 0.333 0.761
Ca 0.333 0.667 0.239

Values from the calculation:
* formation energy: 0.108 eV/atom
* crystal system: trigonal
* space group: No. 164
* final energy: -35.17 eV for the cell shown
* D(E_F): 1.2 states/eV per cell

No. 2
The following is a DFT calculation (meta-GGA SCAN) of Na3TiPt at its PBEsol-relaxed geometry.

abc: 5.404 5.404 5.404
angles: 90.00 90.00 90.00
Site moments in Bohr magnetons follow the coordinates.
Positions (direct):
Na 0.000 0.500 0.000  0.04
Na 0.000 0.000 0.500  0.04
Na 0.500 0.000 0.000  0.04
Pt 0.500 0.500 0.500  -0.30
Ti 0.000 0.000 0.000  2.31

Values from the calculation:
* excess energy over the best structure of this formula in the dataset: 786 meV/atom
* formation energy: 1.482 eV/atom
* crystal system: cubic
* space group: No. 221
* final energy: -91.46 eV for the cell shown
* D(E_F): 4.4 states/eV per cell

No. 3
The following is a DFT calculation (meta-GGA SCAN) of TlCoTc2 at its PBEsol-relaxed geometry.

abc: 3.886 3.886 4.733
angles: 114.24 114.24 90.00
Site moments in Bohr magnetons follow the coordinates.
Positions (direct):
Co 0.250 0.750 0.500  1.55
Tc 0.000 0.000 0.000  0.60
Tc 0.750 0.250 0.500  0.15
Tl 0.500 0.500 0.000  -0.03

Values from the calculation:
* excess energy over the best structure of this formula in the dataset: 294 meV/atom
* formation energy: 0.636 eV/atom
* crystal system: tetragonal
* space group: No. 119
* final energy: -157.24 eV for the cell shown
* D(E_F): 4.8 states/eV per cell

No. 4
The following is a DFT calculation (meta-GGA SCAN) of Li2HgAu at its PBEsol-relaxed geometry.

abc: 3.105 4.579 5.003
angles: 105.24 107.83 90.16
Positions (direct):
Au 0.508 0.538 0.015
Hg 0.747 0.220 0.495
Li 0.006 0.028 0.008
Li 0.239 0.714 0.481

Values from the calculation:
* excess energy over the best structure of this formula in the dataset: 63 meV/atom
* formation energy: -0.480 eV/atom
* crystal system: triclinic
* space group: No. 1
* final energy: -144.02 eV for the cell shown
* D(E_F): 1.1 states/eV per cell

No. 5
The following is a DFT calculation (meta-GGA SCAN) of Ba2MgMoO6 at its PBEsol-relaxed geometry.

abc: 5.712 5.712 5.712
angles: 60.00 60.00 60.00
Positions (direct):
Mg 0.500 0.500 0.500
Mo 0.000 0.000 0.000
Ba 0.250 0.250 0.250
Ba 0.750 0.750 0.750
O 0.238 0.762 0.238
O 0.762 0.238 0.238
O 0.238 0.762 0.762
O 0.762 0.238 0.762
O 0.762 0.762 0.238
O 0.238 0.238 0.762

Values from the calculation:
* crystal system: cubic
* space group: No. 225
* final energy: -185.14 eV for the cell shown
* formation energy without anion corrections: -2.879 eV/atom
* D(E_F): 0.0 states/eV per cell

No. 6
The following is a DFT calculation (meta-GGA SCAN) of Ca at its PBEsol-relaxed geometry.

abc: 3.850 3.850 3.850
angles: 90.09 119.95 119.95
Positions (direct):
Ca 0.000 0.000 0.000

Values from the calculation:
* excess energy over the best structure of this formula in the dataset: 1 meV/atom
* formation energy: 0.001 eV/atom
* crystal system: tetragonal
* space group: No. 139
* final energy: -9.66 eV for the cell shown
* D(E_F): 0.9 states/eV per cell

No. 7
The following is a DFT calculation (meta-GGA SCAN) of TcRh at its PBEsol-relaxed geometry.

abc: 2.687 5.079 6.383
angles: 103.40 90.00 105.34
Positions (direct):
Rh 0.004 0.009 0.002
Rh 0.388 0.775 0.278
Rh 0.331 0.661 0.665
Tc 0.666 0.332 0.332
Tc 0.054 0.108 0.612
Tc 0.724 0.447 0.945

Values from the calculation:
* excess energy over the best structure of this formula in the dataset: 57 meV/atom
* formation energy: -0.160 eV/atom
* crystal system: monoclinic
* space group: No. 8
* final energy: -207.45 eV for the cell shown
* D(E_F): 4.4 states/eV per cell

No. 8
The following is a DFT calculation (meta-GGA SCAN) of K2CdMo at its PBEsol-relaxed geometry.

abc: 2.875 2.875 11.976
angles: 90.00 90.00 90.00
Site moments in Bohr magnetons follow the coordinates.
Positions (direct):
Cd 0.500 0.500 0.500  0.00
K 0.000 0.000 0.761  0.00
K 0.000 0.000 0.239  0.00
Mo 0.500 0.500 0.000  0.07

Values from the calculation:
* formation energy: 1.036 eV/atom
* crystal system: tetragonal
* space group: No. 123
* final energy: -77.81 eV for the cell shown
* D(E_F): 4.8 states/eV per cell

No. 9
The following is a DFT calculation (meta-GGA SCAN) of PRu2W at its PBEsol-relaxed geometry.

abc: 2.830 4.328 5.031
angles: 115.47 106.33 90.00
Positions (direct):
P 0.000 0.500 0.000
Ru 0.716 0.716 0.433
Ru 0.284 0.284 0.567
W 0.500 0.000 0.000

Values from the calculation:
* formation energy: -0.190 eV/atom
* crystal system: orthorhombic
* space group: No. 71
* final energy: -150.50 eV for the cell shown
* D(E_F): 2.3 states/eV per cell

No. 10
The following is a DFT calculation (meta-GGA SCAN) of CrNiIr2 at its PBEsol-relaxed geometry.

abc: 2.642 3.575 5.288
angles: 90.00 90.00 90.00
Site moments in Bohr magnetons follow the coordinates.
Positions (direct):
Ni 0.500 0.500 0.000  -0.76
Ir 0.000 0.000 0.750  -0.35
Ir 0.000 0.000 0.250  -0.35
Cr 0.500 0.500 0.500  1.74

Values from the calculation:
* formation energy: -0.193 eV/atom
* crystal system: orthorhombic
* space group: No. 47
* final energy: -177.53 eV for the cell shown
* D(E_F): 3.6 states/eV per cell

No. 11
The following is a DFT calculation (meta-GGA SCAN) of LiHg2Cl at its PBEsol-relaxed geometry.

abc: 5.083 5.083 5.083
angles: 60.00 60.00 60.00
Positions (direct):
Cl 0.500 0.500 0.500
Hg 0.000 0.000 0.000
Hg 0.250 0.250 0.250
Li 0.750 0.750 0.750

Values from the calculation:
* excess energy over the best structure of this formula in the dataset: 319 meV/atom
* crystal system: cubic
* space group: No. 216
* final energy: -149.06 eV for the cell shown
* formation energy without anion corrections: -0.591 eV/atom
* D(E_F): 0.2 states/eV per cell

No. 12
The following is a DFT calculation (meta-GGA SCAN) of MgAsCl2 at its PBEsol-relaxed geometry.

abc: 3.031 3.031 10.746
angles: 90.00 90.00 89.98
Site moments in Bohr magnetons follow the coordinates.
Positions (direct):
As 0.500 0.500 0.000  0.22
Cl 0.000 0.000 0.360  0.00
Cl 0.000 0.000 0.640  0.00
Mg 0.500 0.500 0.500  0.00

Values from the calculation:
* excess energy over the best structure of this formula in the dataset: 0 meV/atom
* crystal system: tetragonal
* space group: No. 123
* final energy: -44.30 eV for the cell shown
* formation energy without anion corrections: -0.794 eV/atom
* D(E_F): 0.9 states/eV per cell

No. 13
The following is a DFT calculation (meta-GGA SCAN) of RbNaSc2Ga at its PBEsol-relaxed geometry.

abc: 5.057 5.123 5.123
angles: 90.00 90.00 90.00
Site moments in Bohr magnetons follow the coordinates.
Positions (direct):
Sc 0.000 0.000 0.500  0.27
Sc 0.000 0.500 0.000  0.27
Na 0.500 0.000 0.000  0.01
Ga 0.500 0.500 0.500  -0.01
Rb 0.000 0.000 0.000  0.11

Values from the calculation:
* formation energy: 1.458 eV/atom
* crystal system: tetragonal
* space group: No. 123
* final energy: -62.49 eV for the cell shown
* D(E_F): 4.3 states/eV per cell

No. 14
The following is a DFT calculation (meta-GGA SCAN) of Re4Ag at its PBEsol-relaxed geometry.

abc: 3.970 4.754 4.754
angles: 79.96 65.32 65.32
Positions (direct):
Ag 0.000 0.000 0.000
Re 0.800 0.615 0.784
Re 0.200 0.385 0.216
Re 0.584 0.216 0.615
Re 0.416 0.784 0.385

Values from the calculation:
* formation energy: 0.372 eV/atom
* crystal system: tetragonal
* space group: No. 87
* final energy: -313.90 eV for the cell shown
* D(E_F): 3.6 states/eV per cell

No. 15
The following is a DFT calculation (meta-GGA SCAN) of Sc2Cd at its PBEsol-relaxed geometry.

abc: 4.456 4.456 13.412
angles: 99.56 99.56 90.00
Site moments in Bohr magnetons follow the coordinates.
Positions (direct):
Cd 0.917 0.917 0.833  0.00
Cd 0.083 0.083 0.167  0.00
Cd 0.167 0.667 0.333  0.00
Cd 0.333 0.833 0.667  0.00
Sc 0.749 0.749 0.498  0.33
Sc 0.251 0.251 0.502  0.33
Sc 0.999 0.499 0.998  0.33
Sc 0.501 0.001 0.002  0.33
Sc 0.585 0.585 0.170  0.23
Sc 0.415 0.415 0.830  0.23
Sc 0.835 0.335 0.670  0.23
Sc 0.665 0.165 0.330  0.23

Values from the calculation:
* formation energy: -0.230 eV/atom
* crystal system: tetragonal
* space group: No. 141
* final energy: -238.31 eV for the cell shown
* D(E_F): 11.1 states/eV per cell

No. 16
The following is a DFT calculation (meta-GGA SCAN) of Ba3YI9 at its PBEsol-relaxed geometry.

abc: 8.038 13.821 19.988
angles: 90.00 90.00 90.00
Positions (direct):
Ba 0.250 0.439 0.602
Ba 0.250 0.331 0.034
Ba 0.750 0.247 0.839
Ba 0.250 0.253 0.339
Ba 0.750 0.169 0.534
Ba 0.750 0.061 0.102
Ba 0.250 0.939 0.898
Ba 0.250 0.831 0.466
Ba 0.750 0.747 0.661
Ba 0.250 0.753 0.161
Ba 0.750 0.669 0.966
Ba 0.750 0.561 0.398
Y 0.750 0.489 0.180
Y 0.250 0.011 0.680
Y 0.750 0.989 0.320
Y 0.250 0.511 0.820
I 0.982 0.437 0.914
I 0.518 0.437 0.914
I 0.010 0.443 0.278
I 0.490 0.443 0.278
I 0.250 0.315 0.763
I 0.750 0.301 0.672
I 0.995 0.359 0.467
I 0.505 0.359 0.467
I 0.750 0.319 0.087
I 0.250 0.181 0.587
I 0.495 0.141 0.967
I 0.005 0.141 0.967
I 0.250 0.199 0.172
I 0.750 0.185 0.263
I 0.990 0.057 0.778
I 0.510 0.057 0.778
I 0.482 0.063 0.414
I 0.018 0.063 0.414
I 0.982 0.937 0.586
I 0.518 0.937 0.586
I 0.490 0.943 0.222
I 0.010 0.943 0.222
I 0.250 0.815 0.737
I 0.750 0.801 0.828
I 0.995 0.859 0.033
I 0.505 0.859 0.033
I 0.750 0.819 0.413
I 0.250 0.681 0.913
I 0.495 0.641 0.533
I 0.005 0.641 0.533
I 0.250 0.699 0.328
I 0.750 0.685 0.237
I 0.990 0.557 0.722
I 0.510 0.557 0.722
I 0.482 0.563 0.086
I 0.018 0.563 0.086

Values from the calculation:
* crystal system: orthorhombic
* space group: No. 62
* final energy: -2001.98 eV for the cell shown
* formation energy without anion corrections: -1.794 eV/atom
* D(E_F): 0.0 states/eV per cell

No. 17
The following is a DFT calculation (meta-GGA SCAN) of MoPt2W at its PBEsol-relaxed geometry.

abc: 2.707 4.783 4.917
angles: 98.48 90.00 106.44
Positions (direct):
Mo 0.248 0.496 0.766
Pt 0.996 0.991 0.987
Pt 0.755 0.509 0.262
W 0.501 0.003 0.484

Values from the calculation:
* excess energy over the best structure of this formula in the dataset: 128 meV/atom
* formation energy: -0.258 eV/atom
* crystal system: monoclinic
* space group: No. 8
* final energy: -245.99 eV for the cell shown
* D(E_F): 2.5 states/eV per cell

No. 18
The following is a DFT calculation (meta-GGA SCAN) of AlPbW2 at its PBEsol-relaxed geometry.

abc: 3.235 4.587 4.587
angles: 90.00 90.00 90.00
Positions (direct):
Pb 0.500 0.000 0.000
Al 0.500 0.500 0.500
W 0.000 0.000 0.500
W 0.000 0.500 0.000

Values from the calculation:
* excess energy over the best structure of this formula in the dataset: 404 meV/atom
* formation energy: 0.996 eV/atom
* crystal system: tetragonal
* space group: No. 123
* final energy: -218.92 eV for the cell shown
* D(E_F): 3.0 states/eV per cell

No. 19
The following is a DFT calculation (meta-GGA SCAN) of Cr5Tc4 at its PBEsol-relaxed geometry.

abc: 2.931 6.378 6.378
angles: 86.97 76.72 76.72
Positions (direct):
Cr 0.000 0.000 0.000
Cr 0.334 0.000 0.331
Cr 0.666 0.000 0.669
Cr 0.666 0.669 0.000
Cr 0.334 0.331 0.000
Tc 0.323 0.677 0.677
Tc 0.677 0.323 0.323
Tc 0.000 0.323 0.677
Tc 0.000 0.677 0.323

Values from the calculation:
* formation energy: 0.058 eV/atom
* crystal system: tetragonal
* space group: No. 139
* final energy: -231.65 eV for the cell shown
* D(E_F): 8.5 states/eV per cell

No. 20
The following is a DFT calculation (meta-GGA SCAN) of Pr3WCl3O6 at its PBEsol-relaxed geometry.

abc: 5.347 9.267 9.267
angles: 120.00 90.00 90.00
Positions (direct):
Pr 0.250 0.908 0.312
Pr 0.250 0.688 0.597
Pr 0.750 0.597 0.908
Pr 0.250 0.403 0.092
Pr 0.750 0.312 0.403
Pr 0.750 0.092 0.688
W 0.250 0.333 0.667
W 0.750 0.667 0.333
Cl 0.750 0.240 0.049
Cl 0.750 0.809 0.760
Cl 0.250 0.191 0.240
Cl 0.750 0.951 0.191
Cl 0.250 0.049 0.809
Cl 0.250 0.760 0.951
O 0.982 0.523 0.362
O 0.018 0.477 0.638
O 0.482 0.161 0.523
O 0.518 0.638 0.161
O 0.982 0.839 0.477
O 0.482 0.477 0.638
O 0.518 0.839 0.477
O 0.982 0.638 0.161
O 0.018 0.161 0.523
O 0.518 0.523 0.362
O 0.018 0.362 0.839
O 0.482 0.362 0.839

Values from the calculation:
* crystal system: hexagonal
* space group: No. 176
* final energy: -602.74 eV for the cell shown
* formation energy without anion corrections: -3.107 eV/atom
* D(E_F): 0.0 states/eV per cell

No. 21
The following is a DFT calculation (meta-GGA SCAN) of ZrAl2Zn at its PBEsol-relaxed geometry.

abc: 3.192 3.192 6.665
angles: 90.00 90.00 94.10
Positions (direct):
Zn 0.500 0.500 0.500
Al 0.000 0.000 0.284
Al 0.000 0.000 0.716
Zr 0.500 0.500 0.000

Values from the calculation:
* formation energy: -0.278 eV/atom
* crystal system: orthorhombic
* space group: No. 65
* final energy: -60.83 eV for the cell shown
* D(E_F): 1.7 states/eV per cell

No. 22
The following is a DFT calculation (meta-GGA SCAN) of InRuBr2 at its PBEsol-relaxed geometry.

abc: 4.055 4.055 6.163
angles: 109.20 109.20 90.00
Site moments in Bohr magnetons follow the coordinates.
Positions (direct):
Ru 0.250 0.750 0.500  2.32
Br 0.000 0.000 0.000  0.08
Br 0.750 0.250 0.500  0.04
In 0.500 0.500 0.000  0.06

Values from the calculation:
* excess energy over the best structure of this formula in the dataset: 419 meV/atom
* crystal system: tetragonal
* space group: No. 119
* final energy: -105.02 eV for the cell shown
* formation energy without anion corrections: 0.528 eV/atom
* D(E_F): 3.1 states/eV per cell

No. 23
The following is a DFT calculation (meta-GGA SCAN) of Zr2RhCl at its PBEsol-relaxed geometry.

abc: 3.083 4.365 5.154
angles: 90.00 90.00 90.00
Positions (direct):
Rh 0.500 0.000 0.500
Zr 0.000 0.000 0.000
Zr 0.000 0.500 0.500
Cl 0.500 0.500 0.000

Values from the calculation:
* excess energy over the best structure of this formula in the dataset: 314 meV/atom
* crystal system: orthorhombic
* space group: No. 47
* final energy: -105.58 eV for the cell shown
* formation energy without anion corrections: -0.607 eV/atom
* D(E_F): 3.3 states/eV per cell

No. 24
The following is a DFT calculation (meta-GGA SCAN) of MnAs2Pt at its PBEsol-relaxed geometry.

abc: 3.239 4.348 4.348
angles: 90.00 90.00 90.00
Site moments in Bohr magnetons follow the coordinates.
Positions (direct):
As 0.000 0.000 0.500  -0.09
As 0.000 0.500 0.000  -0.09
Mn 0.500 0.500 0.500  3.80
Pt 0.500 0.000 0.000  0.02

Values from the calculation:
* formation energy: -0.227 eV/atom
* crystal system: tetragonal
* space group: No. 123
* final energy: -129.74 eV for the cell shown
* D(E_F): 1.5 states/eV per cell

No. 25
The following is a DFT calculation (meta-GGA SCAN) of SiMoPb2 at its PBEsol-relaxed geometry.

abc: 3.724 3.724 5.889
angles: 90.00 90.00 90.00
Positions (direct):
Mo 0.500 0.500 0.500
Pb 0.000 0.000 0.748
Pb 0.000 0.000 0.252
Si 0.500 0.500 0.000

Values from the calculation:
* crystal system: tetragonal
* space group: No. 123
* final energy: -192.92 eV for the cell shown
* formation energy without anion corrections: 0.887 eV/atom
* D(E_F): 3.3 states/eV per cell